1.
! Ba4SbSe2Cl | the Alexandria database | GGA-PBE | optimized geometry; values from VASP
&SYSTEM
  ibrav = 0, nat = 8, ntyp = 4
/
ATOMIC_SPECIES
Ba 137.33 Ba.upf
Cl 35.45 Cl.upf
Sb 121.76 Sb.upf
Se 78.96 Se.upf
CELL_PARAMETERS angstrom
6.780 0.370 0.000
-0.369 6.780 0.000
-3.206 -3.575 6.801
ATOMIC_POSITIONS crystal
Ba 0.938 0.437 0.000
Cl 0.438 0.438 0.000
Ba 0.689 0.689 0.504
Sb 0.937 0.937 0.000
Ba 0.185 0.185 0.496
Se 0.687 0.187 0.500
Se 0.187 0.687 0.500
Ba 0.437 0.938 0.000
! total moment: 0.000 μB/atom
! formation energy (no corrections): -1.82 eV/atom
! final energy: -4.401 eV per atom

2.
! Pm5InPt2 | the Alexandria database | GGA-PBE | optimized geometry; values from VASP
&SYSTEM
  ibrav = 0, nat = 16, ntyp = 3
/
ATOMIC_SPECIES
Pt 195.08 Pt.upf
Pm 145.00 Pm.upf
In 114.82 In.upf
CELL_PARAMETERS angstrom
7.285 0.000 -3.439
-1.623 7.102 -3.439
-0.237 -0.297 8.935
ATOMIC_POSITIONS crystal
Pt 0.635 0.135 0.000
Pm 0.298 0.798 0.276
Pm 0.798 0.978 0.276
Pm 0.022 0.522 0.724
Pm 0.522 0.702 0.724
In 0.750 0.750 0.500
Pm 0.478 0.298 0.276
Pm 0.702 0.202 0.724
Pm 0.978 0.478 0.276
Pt 0.365 0.865 0.000
In 0.250 0.250 0.500
Pt 0.135 0.365 0.000
Pm 0.000 0.000 0.000
Pt 0.865 0.635 0.000
Pm 0.202 0.022 0.724
Pm 0.500 0.500 0.000
! total moment: 0.000 μB/atom
! final energy: -5.568 eV per atom
! ΔE_f: -0.75 eV per atom

3.
! Pr12Dy7Tm | the Alexandria database | GGA-PBE | optimized geometry; values from VASP
&SYSTEM
  ibrav = 0, nat = 20, ntyp = 3
/
ATOMIC_SPECIES
Pr 140.91 Pr.upf
Dy 162.50 Dy.upf
Tm 168.93 Tm.upf
CELL_PARAMETERS angstrom
1.198 6.163 -0.312
3.685 -3.382 -10.441
-11.452 0.175 1.690
ATOMIC_POSITIONS crystal
Pr 0.583 0.647 0.000
Pr 0.065 0.647 0.647
Pr 0.417 0.000 0.353
Dy 0.500 0.000 0.000
Tm 0.000 0.000 0.000
Pr 0.500 0.412 0.588
Pr 0.912 0.823 0.412
Pr 0.088 0.588 0.177
Dy 0.877 0.000 0.244
Pr 0.583 0.000 0.647
Dy 0.633 0.756 0.756
Pr 0.500 0.588 0.412
Pr 0.088 0.177 0.588
Dy 0.123 0.756 0.000
Dy 0.877 0.244 0.000
Dy 0.123 0.000 0.756
Dy 0.367 0.244 0.244
Pr 0.935 0.353 0.353
Pr 0.417 0.353 0.000
Pr 0.912 0.412 0.823
! total moment: 0.000 μB/atom
! final energy: -4.487 eV per atom
! ΔE_f: 0.22 eV per atom

4.
! VCuBi2 | the Alexandria database | GGA-PBE | optimized geometry; values from VASP
&SYSTEM
  ibrav = 0, nat = 4, ntyp = 3
/
ATOMIC_SPECIES
Bi 208.98 Bi.upf
V 50.94 V.upf
Cu 63.55 Cu.upf
CELL_PARAMETERS angstrom
0.000 3.534 3.534
3.534 0.000 3.534
3.534 3.534 0.000
ATOMIC_POSITIONS crystal
Bi 0.750 0.750 0.750
V 0.000 0.000 0.000
Bi 0.250 0.250 0.250
Cu 0.500 0.500 0.500
! total moment: 0.848 μB/atom
! final energy: -4.798 eV per atom
! ΔE_f: 0.45 eV per atom

5.
! Tb4Ho2TmMg | the Alexandria database | GGA-PBE | optimized geometry; values from VASP
&SYSTEM
  ibrav = 0, nat = 8, ntyp = 4
/
ATOMIC_SPECIES
Tb 158.93 Tb.upf
Mg 24.30 Mg.upf
Tm 168.93 Tm.upf
Ho 164.93 Ho.upf
CELL_PARAMETERS angstrom
4.959 0.000 0.000
0.000 4.861 1.024
0.000 2.835 10.686
ATOMIC_POSITIONS crystal
Tb 0.500 0.751 0.248
Tb 0.500 0.249 0.752
Tb 0.000 0.252 0.248
Mg 0.500 0.500 0.000
Tm 0.000 0.500 0.500
Tb 0.000 0.748 0.752
Ho 0.500 0.000 0.500
Ho 0.000 0.000 0.000
! total moment: 0.000 μB/atom
! final energy: -4.199 eV per atom
! ΔE_f: 0.02 eV per atom

6.
! Na3ZrTi2S6 | the Alexandria database | GGA-PBE | optimized geometry; values from VASP
&SYSTEM
  ibrav = 0, nat = 12, ntyp = 4
/
ATOMIC_SPECIES
S 32.06 S.upf
Zr 91.22 Zr.upf
Ti 47.87 Ti.upf
Na 22.99 Na.upf
CELL_PARAMETERS angstrom
6.277 -0.014 -0.003
-3.149 5.430 -0.003
-1.047 -1.812 6.737
ATOMIC_POSITIONS crystal
S 0.416 0.074 0.218
S 0.584 0.926 0.782
Zr 0.000 0.000 0.000
S 0.726 0.726 0.211
Ti 0.675 0.325 0.000
Na 0.838 0.162 0.500
Na 0.500 0.500 0.500
Ti 0.325 0.675 0.000
S 0.926 0.584 0.782
S 0.074 0.416 0.218
S 0.274 0.274 0.789
Na 0.162 0.838 0.500
! total moment: 0.174 μB/atom
! formation energy (no corrections): -1.40 eV/atom
! final energy: -5.817 eV per atom